Record 1
The following is a PBE calculation of a geometry-optimized CaMgZn structure, from Alexandria via LeMat-Bulk.

The structure in extended XYZ format:
```
12
Lattice="-2.426 3.767 -0.203 -2.669 -1.345 6.933 6.723 4.517 3.464" Properties=species:S:1:pos:R:3 pbc="T T T"
Mg 4.144 6.896 4.104
Zn 1.972 5.719 8.214
Zn 1.688 5.304 3.914
Zn -0.344 1.220 1.980
Ca 3.672 4.027 6.069
Mg 1.421 2.464 3.965
Ca 0.278 4.248 1.167
Ca 1.350 2.692 9.027
Ca -2.044 2.912 4.125
Mg 0.207 4.475 6.230
Zn -0.060 1.635 6.281
Mg -2.515 0.043 6.091
```

Summary:
- Energy relative to the elements: -20.5 kJ per mole of atoms
- Space-group type: Pnma
- Calculated total energy: -1.836 eV per atom

---

Record 2
The following is a PBE calculation of a geometry-optimized Ca2MgZn structure, from Alexandria via LeMat-Bulk.

The structure in extended XYZ format:
```
8
Lattice="8.598 0.000 0.000 0.000 8.598 0.000 4.299 4.299 3.375" Properties=species:S:1:pos:R:3 pbc="T T T"
Ca 6.449 6.133 2.532
Ca 1.834 6.449 0.844
Ca 6.764 2.150 0.844
Mg 4.299 8.598 1.688
Mg 4.299 4.299 0.000
Ca 10.748 11.063 2.532
Zn 0.000 0.000 0.000
Zn 8.598 4.299 1.688
```

Summary:
- Energy relative to the elements: 10.7 kJ per mole of atoms
- Space-group type: I-42d
- Calculated total energy: -1.607 eV per atom
- Energy above the most stable polymorph in this dataset: 0.273 eV per atom

---

Record 3
The following is a PBE calculation of a geometry-optimized CaMg4Zn4 structure, from Alexandria via LeMat-Bulk.

The structure in extended XYZ format:
```
18
Lattice="-3.959 -3.016 0.416 4.767 -6.688 -3.110 2.435 -2.068 8.180" Properties=species:S:1:pos:R:3 pbc="T T T"
Zn 1.872 -2.922 2.212
Mg 1.577 -2.287 4.977
Mg 1.723 -8.831 5.786
Ca 1.622 -5.886 2.744
Mg 3.141 -8.826 2.445
Mg 1.629 -5.446 -0.551
Zn 2.345 -8.075 -0.665
Zn -0.064 -6.712 5.111
Zn 4.594 -6.395 2.937
Zn 0.084 -7.514 0.715
Zn -0.251 -2.964 0.532
Zn 0.162 -4.257 6.229
Mg -0.764 -3.604 3.133
Mg 2.480 -5.666 5.947
Ca 0.000 0.000 0.000
Mg -1.574 -5.297 0.027
Zn 4.230 -8.247 4.878
Mg 4.760 -7.128 0.185
```

Summary:
- Energy relative to the elements: -1.1 kJ per mole of atoms
- Space-group type: P4_2/n
- Calculated total energy: -1.508 eV per atom

---

Record 4
The following is a PBE calculation of a geometry-optimized Ca2MgZn structure, from Alexandria via LeMat-Bulk.

The structure in extended XYZ format:
```
8
Lattice="3.762 0.000 0.000 0.000 4.751 0.000 0.000 0.000 14.388" Properties=species:S:1:pos:R:3 pbc="T T T"
Ca 1.881 0.000 5.933
Ca 1.881 2.375 2.790
Ca 0.000 0.000 11.598
Zn 0.000 2.375 5.268
Mg 0.000 2.375 14.156
Mg 1.881 0.000 0.232
Ca 0.000 2.375 8.455
Zn 1.881 0.000 9.120
```

Summary:
- Energy relative to the elements: 0.8 kJ per mole of atoms
- Space-group type: Pmmn
- Calculated total energy: -1.709 eV per atom
- Energy above the most stable polymorph in this dataset: 0.172 eV per atom

---

Record 5
The following is a PBE calculation of a geometry-optimized CaMgZn2 structure, from Alexandria via LeMat-Bulk.

The structure in extended XYZ format:
```
4
Lattice="5.992 -0.024 -0.015 4.347 4.124 -0.015 4.347 1.724 3.747" Properties=species:S:1:pos:R:3 pbc="T T T"
Zn 14.214 5.637 3.597
Mg 10.444 4.142 2.643
Zn 4.501 1.785 1.139
Ca 7.557 2.997 1.912
```

Summary:
- Energy relative to the elements: -14.3 kJ per mole of atoms
- Space-group type: R3m
- Calculated total energy: -1.684 eV per atom

---

Record 6
The following is a PBE calculation of a geometry-optimized CaMgZn structure, from Alexandria via LeMat-Bulk.

The structure in extended XYZ format:
```
3
Lattice="6.245 -0.119 0.128 5.281 3.335 0.145 0.964 0.251 3.445" Properties=species:S:1:pos:R:3 pbc="T T T"
Mg 4.182 1.154 2.478
Ca 1.103 0.290 3.403
Zn 8.168 2.273 1.281
```

Summary:
- Energy relative to the elements: -12.8 kJ per mole of atoms
- Space-group type: I4mm
- Calculated total energy: -1.756 eV per atom

---

Record 7
The following is a PBE calculation of a geometry-optimized Ca2MgZn2 structure, from Alexandria via LeMat-Bulk.

The structure in extended XYZ format:
```
10
Lattice="4.831 0.000 0.000 0.000 5.158 -0.213 0.000 0.373 10.674" Properties=species:S:1:pos:R:3 pbc="T T T"
Mg 1.208 1.414 3.639
Ca 3.624 4.232 10.305
Ca 3.624 3.988 3.361
Zn 3.624 1.475 5.120
Zn 3.624 1.350 1.943
Ca 1.208 1.299 0.156
Zn 1.208 4.056 5.341
Zn 1.208 4.182 8.518
Mg 3.624 4.118 6.822
Ca 1.208 1.544 7.100
```

Summary:
- Energy relative to the elements: -10.6 kJ per mole of atoms
- Space-group type: P2_1/m
- Calculated total energy: -1.739 eV per atom

---

Record 8
The following is a PBE calculation of a geometry-optimized CaMgZn structure, from Alexandria via LeMat-Bulk.

The structure in extended XYZ format:
```
6
Lattice="4.400 0.000 0.000 0.000 4.400 0.000 0.000 0.000 7.790" Properties=species:S:1:pos:R:3 pbc="T T T"
Zn 3.300 3.300 2.053
Ca 3.300 3.300 6.619
Ca 1.100 1.100 1.171
Mg 1.100 3.300 3.895
Zn 1.100 1.100 5.737
Mg 3.300 1.100 3.895
```

Summary:
- Energy relative to the elements: -19.6 kJ per mole of atoms
- Space-group type: P4/nmm
- Calculated total energy: -1.826 eV per atom